Record 1
DFT (PBE-GGA) results for a relaxed structure of LiAcGa2.

abc: 3.5850 3.5850 7.2099
angles: 90.00 90.00 90.00
Positions (direct):
1 Li 0.0000 0.0000 0.0000
2 Ac 0.0000 0.0000 0.5000
3 Ga 0.5000 0.5000 0.1883
4 Ga 0.5000 0.5000 0.8117

Summary:
Formation energy in eV per atom: -0.3159

***

Record 2
DFT (PBE-GGA) results for a relaxed structure of Li3AcGa3.

abc: 7.5282 7.5282 7.5282
angles: 57.63 57.63 57.63
Positions (direct):
1 Li 0.1896 0.1896 0.5635
2 Li 0.1896 0.5635 0.1896
3 Li 0.4365 0.8104 0.8104
4 Li 0.5635 0.1896 0.1896
5 Li 0.8104 0.4365 0.8104
6 Li 0.8104 0.8104 0.4365
7 Ac 0.1306 0.1306 0.1306
8 Ac 0.8694 0.8694 0.8694
9 Ga 0.1856 0.5635 0.5635
10 Ga 0.4365 0.4365 0.8144
11 Ga 0.4365 0.8144 0.4365
12 Ga 0.5635 0.1856 0.5635
13 Ga 0.5635 0.5635 0.1856
14 Ga 0.8144 0.4365 0.4365

Summary:
Relative energy among the computed polymorphs in meV per atom: 0
Formation energy in eV per atom: -0.3224

***

Record 3
DFT (PBE-GGA) results for a relaxed structure of Li2Ac2Ga.

abc: 6.1299 6.1299 11.6135
angles: 114.95 114.95 47.98
Positions (direct):
1 Li 0.0206 0.0206 0.1223
2 Li 0.1499 0.1499 0.5463
3 Li 0.8501 0.8501 0.4537
4 Li 0.9794 0.9794 0.8777
5 Ac 0.2869 0.2869 0.8862
6 Ac 0.4743 0.4743 0.6665
7 Ac 0.5257 0.5257 0.3335
8 Ac 0.7131 0.7131 0.1138
9 Ga 0.2399 0.2399 0.3492
10 Ga 0.7601 0.7601 0.6508

Summary:
Formation energy in eV per atom: -0.1417

***

Record 4
DFT (PBE-GGA) results for a relaxed structure of Li2Ac4Ga5.

abc: 7.2344 4.7587 8.7357
angles: 90.00 90.24 90.00
Positions (direct):
1 Li 0.0151 0.0000 0.3722
2 Li 0.9849 0.0000 0.6278
3 Ac 0.1970 0.5000 0.8432
4 Ac 0.3324 0.5000 0.3235
5 Ac 0.6676 0.5000 0.6765
6 Ac 0.8030 0.5000 0.1568
7 Ga 0.1414 0.0000 0.1019
8 Ga 0.3504 0.0000 0.5962
9 Ga 0.5000 0.0000 0.0000
10 Ga 0.6496 0.0000 0.4038
11 Ga 0.8586 0.0000 0.8981

Summary:
Formation energy in eV per atom: -0.3410

***

Record 5
DFT (PBE-GGA) results for a relaxed structure of LiAcGa11.

abc: 7.1905 7.1905 7.1885
angles: 98.22 98.22 132.79
Positions (direct):
1 Li 0.0000 0.0000 0.0000
2 Ac 0.5000 0.5000 0.5000
3 Ga 0.0000 0.5000 0.5000
4 Ga 0.0036 0.7866 0.2801
5 Ga 0.1229 0.4748 0.1344
6 Ga 0.2134 0.9964 0.7199
7 Ga 0.4748 0.1229 0.1344
8 Ga 0.5000 0.0000 0.5000
9 Ga 0.5000 0.5000 0.0000
10 Ga 0.5252 0.8771 0.8656
11 Ga 0.7866 0.0036 0.2801
12 Ga 0.8771 0.5252 0.8656
13 Ga 0.9964 0.2134 0.7199

Summary:
Formation energy in eV per atom: -0.2003

***

Record 6
DFT (PBE-GGA) results for a relaxed structure of Li3AcGa3.

abc: 10.1695 3.9834 10.1802
angles: 90.00 119.88 90.00
Positions (direct):
1 Li 0.0843 0.2500 0.2614
2 Li 0.2393 0.2500 0.8245
3 Li 0.3236 0.7500 0.5854
4 Li 0.6764 0.2500 0.4146
5 Li 0.7607 0.7500 0.1755
6 Li 0.9157 0.7500 0.7386
7 Ac 0.3334 0.7500 0.1673
8 Ac 0.6666 0.2500 0.8327
9 Ga 0.0469 0.2500 0.9512
10 Ga 0.4041 0.2500 0.4534
11 Ga 0.4512 0.7500 0.9045
12 Ga 0.5488 0.2500 0.0955
13 Ga 0.5959 0.7500 0.5466
14 Ga 0.9531 0.7500 0.0488

Summary:
Relative energy among the computed polymorphs in meV per atom: 85
Formation energy in eV per atom: -0.2372

***

Repeat the sixth record exactly.
DFT (PBE-GGA) results for a relaxed structure of Li3AcGa3.

abc: 10.1695 3.9834 10.1802
angles: 90.00 119.88 90.00
Positions (direct):
1 Li 0.0843 0.2500 0.2614
2 Li 0.2393 0.2500 0.8245
3 Li 0.3236 0.7500 0.5854
4 Li 0.6764 0.2500 0.4146
5 Li 0.7607 0.7500 0.1755
6 Li 0.9157 0.7500 0.7386
7 Ac 0.3334 0.7500 0.1673
8 Ac 0.6666 0.2500 0.8327
9 Ga 0.0469 0.2500 0.9512
10 Ga 0.4041 0.2500 0.4534
11 Ga 0.4512 0.7500 0.9045
12 Ga 0.5488 0.2500 0.0955
13 Ga 0.5959 0.7500 0.5466
14 Ga 0.9531 0.7500 0.0488

Summary:
Relative energy among the computed polymorphs in meV per atom: 85
Formation energy in eV per atom: -0.2372

***

Question: Which of these has the highest formation energy?
Answer: Li2Ac2Ga

***

Question: Which value of formation energy does entry 2 give?
Answer: -0.3224 eV per atom

***

Repeat the third record exactly.
DFT (PBE-GGA) results for a relaxed structure of Li2Ac2Ga.

abc: 6.1299 6.1299 11.6135
angles: 114.95 114.95 47.98
Positions (direct):
1 Li 0.0206 0.0206 0.1223
2 Li 0.1499 0.1499 0.5463
3 Li 0.8501 0.8501 0.4537
4 Li 0.9794 0.9794 0.8777
5 Ac 0.2869 0.2869 0.8862
6 Ac 0.4743 0.4743 0.6665
7 Ac 0.5257 0.5257 0.3335
8 Ac 0.7131 0.7131 0.1138
9 Ga 0.2399 0.2399 0.3492
10 Ga 0.7601 0.7601 0.6508

Summary:
Formation energy in eV per atom: -0.1417